The following is a PBE-GGA calculation of SmTlSn2I8 after structural relaxation, from Alexandria.

Computed properties:
The value obtained for the total magnetic moment is 0.000 μB/atom. The value obtained for the volume is 45.916 A^3/atom. Its uncorrected formation energy is -76.5 kJ/mol of atoms.

Geometry as POSCAR:
```
SmTlSn2I8
1.0
-0.9818 -7.1682 -2.9734
4.4572 1.5956 -5.6308
7.5089 -3.1271 5.0539
Sm Tl Sn I
1 1 2 8
Direct
0.0000 0.0000 0.0000
0.0000 0.0000 0.5000
0.5001 0.5000 0.7472
0.4999 0.5000 0.2528
0.1582 0.7492 0.2272
0.6722 0.7596 0.9999
0.8415 0.2505 0.2271
0.8418 0.2508 0.7728
0.3278 0.2404 0.0001
0.1585 0.7495 0.7729
0.6377 0.7306 0.4999
0.3623 0.2694 0.5001
```